No. 1
This record from Alexandria describes crystalline KAgPdO3 at its relaxed geometry. The functional is PBE.

VASP energy = -4.4384 eV/atom

a = 7.4122 Å, b = 7.4122 Å, c = 8.6949 Å
α = 90.00°, β = 90.00°, γ = 155.06°
Positions (direct):
K 0.1721 0.8279 0.7500
K 0.8279 0.1721 0.2500
Ag 0.1095 0.8905 0.2500
Ag 0.8905 0.1095 0.7500
Pd 0.5000 0.5000 0.0000
Pd 0.5000 0.5000 0.5000
O 0.0911 0.9089 0.0120
O 0.0911 0.9089 0.4880
O 0.4721 0.5279 0.2500
O 0.5279 0.4721 0.7500
O 0.9089 0.0911 0.5120
O 0.9089 0.0911 0.9880

---

No. 2
This record from Alexandria describes crystalline CsHg2Ge2 at its relaxed geometry. The functional is PBE.

energy of formation = 176.8 meV per atom

a = 9.1262 Å, b = 9.1262 Å, c = 3.4462 Å
α = 90.00°, β = 90.00°, γ = 90.00°
Positions (direct):
Cs 0.0000 0.0000 0.0000
Cs 0.5000 0.5000 0.0000
Hg 0.1589 0.3411 0.5000
Hg 0.3411 0.8411 0.5000
Hg 0.6589 0.1589 0.5000
Hg 0.8411 0.6589 0.5000
Ge 0.1114 0.6114 0.0000
Ge 0.3886 0.1114 0.0000
Ge 0.6114 0.8886 0.0000
Ge 0.8886 0.3886 0.0000

---

No. 3
This record from Alexandria describes crystalline SiPb at its relaxed geometry. The functional is PBE.

VASP energy = -3.9610 eV/atom

a = 11.5270 Å, b = 11.5270 Å, c = 4.4609 Å
α = 90.00°, β = 90.00°, γ = 90.00°
Positions (direct):
Si 0.1203 0.7158 0.0000
Si 0.2158 0.3797 0.5000
Si 0.2842 0.1203 0.0000
Si 0.3797 0.7842 0.5000
Si 0.6203 0.2158 0.5000
Si 0.7158 0.8797 0.0000
Si 0.7842 0.6203 0.5000
Si 0.8797 0.2842 0.0000
Pb 0.1139 0.2871 0.0000
Pb 0.2129 0.6139 0.5000
Pb 0.2871 0.8861 0.0000
Pb 0.3861 0.2129 0.5000
Pb 0.6139 0.7871 0.5000
Pb 0.7129 0.1139 0.0000
Pb 0.7871 0.3861 0.5000
Pb 0.8861 0.7129 0.0000